1.
Entry from Alexandria: a relaxed structure of CrFeTc2 (PBEsol).

Values from the calculation:
* DFT formation energy: 0.134 eV/atom

abc: 8.597 2.613 4.467
angles: 90.00 100.32 90.00
Space group Cm (No. 8)
Inequivalent atoms, fractional coordinates:
1 Cr 0.000 0.000 0.000
2 Fe 0.265 0.000 0.759
3 Tc 0.020 0.500 0.530
4 Tc 0.258 0.500 0.249

---

2.
Entry from Alexandria: a relaxed structure of CrFeTc2 (PBEsol).

Values from the calculation:
* DFT formation energy: 0.136 eV/atom

abc: 3.701 3.701 7.244
angles: 90.00 90.00 90.00
Space group I4/mmm (No. 139)
Inequivalent atoms, fractional coordinates:
1 Cr 0.000 0.000 0.000
2 Fe 0.000 0.000 0.500
3 Tc 0.000 0.500 0.250

---

3.
Entry from Alexandria: a relaxed structure of CrFe2TcTe (PBEsol).

Values from the calculation:
* uncorrected formation energy: 1.75 eV/atom

abc: 4.551 4.551 4.840
angles: 90.00 90.00 90.00
Space group P4/mmm (No. 123)
Inequivalent atoms, fractional coordinates:
1 Cr 0.000 0.000 0.000
2 Fe 0.000 0.500 0.500
3 Tc 0.500 0.500 0.000
4 Te 0.500 0.500 0.500

---

4.
Entry from Alexandria: a relaxed structure of CrFe2Te (PBEsol).

Values from the calculation:
* uncorrected formation energy: 0.43 eV/atom

abc: 8.089 3.004 4.454
angles: 90.00 100.82 90.00
Space group C2/m (No. 12)
Inequivalent atoms, fractional coordinates:
1 Cr 0.000 0.000 0.000
2 Fe 0.244 0.500 0.220
3 Te 0.000 0.500 0.500

---

no.,mass density (g cm⁻³)
1,10.22
2,10.17
3,6.45
4,9.10